VASP calculation (PBE) on an optimized crystal structure of CsBrCl3.

**Final energy**: -11.84 eV/f.u.
**Energy relative to the elements, uncorrected**: -17.41 kcal/mol of atoms
**Space-group type**: C2/m (12)

```
data_CsBrCl3
_cell_length_a 7.8464
_cell_length_b 7.8464
_cell_length_c 10.6622
_cell_angle_alpha 103.14
_cell_angle_beta 103.14
_cell_angle_gamma 41.51
_space_group_name_H-M_alt 'P 1'
_space_group_IT_number 1
_space_group_name_Hall 'P 1'
loop_
_atom_site_label
_atom_site_type_symbol
_atom_site_fract_x
_atom_site_fract_y
_atom_site_fract_z
_atom_site_occupancy
Cs1 Cs 0.1584 0.1584 0.2299 1
Cs2 Cs 0.8416 0.8416 0.7701 1
Br1 Br 0.3769 0.3769 0.1073 1
Br2 Br 0.6231 0.6231 0.8927 1
Cl1 Cl 0.1267 0.1267 0.8950 1
Cl2 Cl 0.3395 0.3395 0.5628 1
Cl3 Cl 0.4772 0.4772 0.7162 1
Cl4 Cl 0.5228 0.5228 0.2838 1
Cl5 Cl 0.6605 0.6605 0.4372 1
Cl6 Cl 0.8733 0.8733 0.1050 1
```

---

VASP calculation (PBE) on an optimized crystal structure of Cs2Br2Cl.

**Relative energy among the computed polymorphs**: 0.000 eV/atom
**Final energy**: -13.84 eV/f.u.
**Energy relative to the elements, uncorrected**: -32.00 kcal/mol of atoms
**Space-group type**: Cmc2_1 (36)

```
data_Cs2Br2Cl
_cell_length_a 10.1716
_cell_length_b 10.1716
_cell_length_c 9.1586
_cell_angle_alpha 90.00
_cell_angle_beta 90.00
_cell_angle_gamma 148.20
_space_group_name_H-M_alt 'P 1'
_space_group_IT_number 1
_space_group_name_Hall 'P 1'
loop_
_atom_site_label
_atom_site_type_symbol
_atom_site_fract_x
_atom_site_fract_y
_atom_site_fract_z
_atom_site_occupancy
Cs1 Cs 0.0400 0.9600 0.5000 1
Cs2 Cs 0.3091 0.6909 0.5426 1
Cs3 Cs 0.6909 0.3091 0.0426 1
Cs4 Cs 0.9600 0.0400 0.0000 1
Br1 Br 0.3217 0.6783 0.1317 1
Br2 Br 0.4547 0.5453 0.2706 1
Br3 Br 0.5453 0.4547 0.7706 1
Br4 Br 0.6783 0.3217 0.6317 1
Cl1 Cl 0.1179 0.8821 0.1695 1
Cl2 Cl 0.8821 0.1179 0.6695 1
```

---

VASP calculation (PBE) on an optimized crystal structure of Cs2Br2Cl5.

**Final energy**: -22.37 eV/f.u.
**Energy relative to the elements, uncorrected**: -20.71 kcal/mol of atoms
**Space-group type**: C2/m (12)

```
data_Cs2Br2Cl5
_cell_length_a 9.9808
_cell_length_b 9.9808
_cell_length_c 8.5908
_cell_angle_alpha 114.52
_cell_angle_beta 114.52
_cell_angle_gamma 27.86
_space_group_name_H-M_alt 'P 1'
_space_group_IT_number 1
_space_group_name_Hall 'P 1'
loop_
_atom_site_label
_atom_site_type_symbol
_atom_site_fract_x
_atom_site_fract_y
_atom_site_fract_z
_atom_site_occupancy
Cs1 Cs 0.0868 0.0868 0.3161 1
Cs2 Cs 0.9132 0.9132 0.6839 1
Br1 Br 0.3496 0.3496 0.1922 1
Br2 Br 0.6504 0.6504 0.8078 1
Cl1 Cl 0.2863 0.2863 0.3788 1
Cl2 Cl 0.4187 0.4187 0.0163 1
Cl3 Cl 0.5000 0.5000 0.5000 1
Cl4 Cl 0.5813 0.5813 0.9837 1
Cl5 Cl 0.7137 0.7137 0.6212 1
```

---

What did the first record say?
VASP calculation (PBE) on an optimized crystal structure of CsBrCl3.

**Final energy**: -11.84 eV/f.u.
**Energy relative to the elements, uncorrected**: -17.41 kcal/mol of atoms
**Space-group type**: C2/m (12)

```
data_CsBrCl3
_cell_length_a 7.8464
_cell_length_b 7.8464
_cell_length_c 10.6622
_cell_angle_alpha 103.14
_cell_angle_beta 103.14
_cell_angle_gamma 41.51
_space_group_name_H-M_alt 'P 1'
_space_group_IT_number 1
_space_group_name_Hall 'P 1'
loop_
_atom_site_label
_atom_site_type_symbol
_atom_site_fract_x
_atom_site_fract_y
_atom_site_fract_z
_atom_site_occupancy
Cs1 Cs 0.1584 0.1584 0.2299 1
Cs2 Cs 0.8416 0.8416 0.7701 1
Br1 Br 0.3769 0.3769 0.1073 1
Br2 Br 0.6231 0.6231 0.8927 1
Cl1 Cl 0.1267 0.1267 0.8950 1
Cl2 Cl 0.3395 0.3395 0.5628 1
Cl3 Cl 0.4772 0.4772 0.7162 1
Cl4 Cl 0.5228 0.5228 0.2838 1
Cl5 Cl 0.6605 0.6605 0.4372 1
Cl6 Cl 0.8733 0.8733 0.1050 1
```